# La4Pm4Dy PBE optimized geometry
data_La4Pm4Dy
_chemical_formula_sum 'La4 Pm4 Dy1'
_cell_length_a 8.2101
_cell_length_b 8.2101
_cell_length_c 8.2101
_cell_angle_alpha 95.82
_cell_angle_beta 95.82
_cell_angle_gamma 142.86
_symmetry_space_group_name_H-M 'P 1'
_symmetry_Int_Tables_number 1
_symmetry_space_group_name_Hall 'P 1'
loop_
_atom_site_label
_atom_site_fract_x
_atom_site_fract_y
_atom_site_fract_z
La1 0.1665 0.1665 0.3330
La2 0.1665 0.8335 0.0000
La3 0.8335 0.1665 0.0000
La4 0.8335 0.8335 0.6670
Pm1 0.1662 0.5000 0.6662
Pm2 0.5000 0.1662 0.6662
Pm3 0.5000 0.8338 0.3338
Pm4 0.8338 0.5000 0.3338
Dy1 0.5000 0.5000 0.0000
# Calculated formation energy in eV per atom: 0.019
# Volume in Å³/atom: 35.195
# SG: I4/mmm, No. 139
# Size of the total moment in μB per atom: 0.000

# Nb3AlPt PBE optimized geometry
data_Nb3AlPt
_chemical_formula_sum 'Nb3 Al1 Pt1'
_cell_length_a 4.6340
_cell_length_b 4.6340
_cell_length_c 4.6340
_cell_angle_alpha 90.00
_cell_angle_beta 90.00
_cell_angle_gamma 90.00
_symmetry_space_group_name_H-M 'P 1'
_symmetry_Int_Tables_number 1
_symmetry_space_group_name_Hall 'P 1'
loop_
_atom_site_label
_atom_site_fract_x
_atom_site_fract_y
_atom_site_fract_z
Nb1 0.0000 0.0000 0.5000
Nb2 0.0000 0.5000 0.0000
Nb3 0.5000 0.0000 0.0000
Al1 0.0000 0.0000 0.0000
Pt1 0.5000 0.5000 0.5000
# Calculated formation energy in eV per atom: 1.026
# Volume in Å³/atom: 19.902
# SG: Pm-3m, No. 221
# Size of the total moment in μB per atom: 0.000

# BeCd2As PBE optimized geometry
data_BeCd2As
_chemical_formula_sum 'Be2 Cd4 As2'
_cell_length_a 9.2138
_cell_length_b 9.2138
_cell_length_c 9.2138
_cell_angle_alpha 152.76
_cell_angle_beta 152.76
_cell_angle_gamma 38.90
_symmetry_space_group_name_H-M 'P 1'
_symmetry_Int_Tables_number 1
_symmetry_space_group_name_Hall 'P 1'
loop_
_atom_site_label
_atom_site_fract_x
_atom_site_fract_y
_atom_site_fract_z
Be1 0.0000 0.0000 0.0000
Be2 0.7500 0.2500 0.5000
Cd1 0.0858 0.6250 0.9608
Cd2 0.3750 0.3358 0.4608
Cd3 0.6642 0.1250 0.0392
Cd4 0.8750 0.9142 0.5392
As1 0.2500 0.7500 0.5000
As2 0.5000 0.5000 0.0000
# Calculated formation energy in eV per atom: 0.381
# Volume in Å³/atom: 20.446
# SG: I-42d, No. 122
# Size of the total moment in μB per atom: 0.000